The following is a PBE-GGA calculation of an optimized crystal structure of Tb4EuY, from the Alexandria database.

Results
The value obtained for the magnetization is 29.4 μB per cell. Its uncorrected energy is -5.65 eV per atom. Its crystal system is cubic.

abc: 9.456 9.456 9.456
angles: 90.00 90.00 90.00
Space group F-43m (No. 216)
Symmetry-distinct sites (fractional):
Tb 0.123 0.123 0.377 [16 per cell]
Eu 0.000 0.000 0.000 [4 per cell]
Y 0.250 0.250 0.750 [4 per cell]